[1]
The following is a PBEsol calculation of crystalline Ni3Sn at its relaxed geometry, from Alexandria via LeMat-Bulk.

The structure belongs to space group P6_3/mmc (No. 194); the cell edges are 5.2257, 5.2257 and 4.1902 Å and the angles 90.00°, 90.00° and 120.00°. The inequivalent atoms are Ni at (0.1596, 0.3191, 0.2500) and Sn at (0.3333, 0.6667, 0.7500).

As for the total energy: -5.905 eV per atom. The total moment is 0.00 μB per formula unit. For the energy of formation from the pure elements, the calculation gives -0.222 eV/atom.

=====

[2]
The following is a PBEsol calculation of crystalline TaCrOs2 at its relaxed geometry, from Alexandria via LeMat-Bulk.

The structure belongs to space group Immm (No. 71); the cell edges are 2.903, 4.422 and 8.893 Å and the angles 90.00°, 90.00° and 90.00°. The inequivalent atoms are Ta at (0.000, 0.000, 0.000), Cr at (0.000, 0.000, 0.500) and Os at (0.000, 0.500, 0.224).

As for the total energy: -11.715 eV per atom. The total moment is 0.00 μB per formula unit. For the energy of formation from the pure elements, the calculation gives 0.092 eV/atom.

=====

[3]
The following is a PBEsol calculation of crystalline NbVCr at its relaxed geometry, from Alexandria via LeMat-Bulk.

The structure belongs to space group Imma (No. 74); the cell edges are 4.892, 4.988 and 6.957 Å and the angles 90.00°, 90.00° and 90.00°. The inequivalent atoms are Nb at (0.000, 0.250, 0.124), V at (0.000, 0.000, 0.500) and Cr at (0.250, 0.250, 0.750).

As for the total energy: -10.324 eV per atom. The total moment is 0.00 μB per formula unit. For the energy of formation from the pure elements, the calculation gives -0.091 eV/atom.

=====

[4]
The following is a PBEsol calculation of crystalline LaRhPb2 at its relaxed geometry, from Alexandria via LeMat-Bulk.

The structure belongs to space group R3m (No. 160, hexagonal axes); the cell edges are 3.8843, 3.8843 and 25.1921 Å and the angles 90.00°, 90.00° and 120.00°. The inequivalent atoms are La at (0.0000, 0.0000, 0.0000), Rh at (0.0000, 0.0000, 0.2726), Pb at (0.0000, 0.0000, 0.5388) and Pb at (0.0000, 0.0000, 0.7741).

As for the total energy: -5.549 eV per atom. The total moment is 0.00 μB per formula unit. For the energy of formation from the pure elements, the calculation gives -0.179 eV/atom.

=====

[5]
The following is a PBEsol calculation of crystalline YCdHg at its relaxed geometry, from Alexandria via LeMat-Bulk.

The structure belongs to space group P-6m2 (No. 187); the cell edges are 4.8324, 4.8324 and 3.4175 Å and the angles 90.00°, 90.00° and 120.00°. The inequivalent atoms are Y at (0.0000, 0.0000, 0.0000), Cd at (0.3333, 0.6667, 0.5000) and Hg at (0.6667, 0.3333, 0.5000).

As for the total energy: -3.338 eV per atom. The total moment is 0.00 μB per formula unit. For the energy of formation from the pure elements, the calculation gives -0.476 eV/atom.

=====

[6]
The following is a PBEsol calculation of crystalline BiP5O14 at its relaxed geometry, from Alexandria via LeMat-Bulk.

The structure belongs to space group Pnma (No. 62); the cell edges are 8.781, 12.942 and 9.118 Å and the angles 90.00°, 90.00° and 90.00°. The inequivalent atoms are Bi at (0.023, 0.250, 0.063), P at (0.010, 0.584, 0.297), P at (0.071, 0.750, 0.505), P at (0.242, 0.565, 0.772), O at (0.009, 0.635, 0.153), O at (0.025, 0.154, 0.566), O at (0.038, 0.750, 0.664), O at (0.111, 0.504, 0.680), O at (0.158, 0.112, 0.158), O at (0.166, 0.532, 0.344), O at (0.175, 0.624, 0.895) and O at (0.228, 0.750, 0.442).

As for the total energy: -7.359 eV per atom. The total moment is 0.00 μB per formula unit. The uncorrected formation energy is -2022.1 meV per atom.